KAg2Pt | the Alexandria database | GGA-PBEsol | relaxed; ρ = 8883 kg/m³; crystal system = tetragonal; formation energy from the elements = 238 meV/atom
1.0
3.287 0.000 0.000
0.000 3.287 0.000
0.000 0.000 7.786
K Ag Pt
1 2 1
direct
0.000 0.000 0.000
0.500 0.500 0.314
0.500 0.500 0.686
0.000 0.000 0.500


KAgPt | the Alexandria database | GGA-PBEsol | relaxed; ρ = 7712 kg/m³; crystal system = cubic; formation energy from the elements = 552 meV/atom
1.0
0.000 3.327 3.327
3.327 0.000 3.327
3.327 3.327 0.000
K Ag Pt
1 1 1
direct
0.000 0.000 0.000
0.500 0.500 0.500
0.750 0.750 0.750


K2RbAg2 | the Alexandria database | GGA-PBEsol | relaxed; ρ = 3252 kg/m³; crystal system = tetragonal; formation energy from the elements = 149 meV/atom; energy above the lowest structure with this stoichiometry = 0 meV per atom
1.0
8.918 0.000 0.000
0.000 8.918 0.000
0.000 0.000 4.872
K Rb Ag
4 2 4
direct
0.163 0.337 0.000
0.337 0.837 0.000
0.663 0.163 0.000
0.837 0.663 0.000
0.000 0.000 0.500
0.500 0.500 0.500
0.110 0.610 0.500
0.390 0.110 0.500
0.610 0.890 0.500
0.890 0.390 0.500